The following is a DFT calculation (PBE-GGA) of KBaNa2Cu after structural relaxation.

Structure (POSCAR):
```
KBaNa2Cu
1.0
6.033 0.000 0.000
0.000 6.033 0.000
0.000 0.000 6.076
K Ba Na Cu
1 1 2 1
direct
0.000 0.000 0.000
0.500 0.500 0.000
0.000 0.500 0.500
0.500 0.000 0.500
0.500 0.500 0.500
```

Properties
E_form: 0.156 eV/atom